Record 1
Compound: KSn5Au3
Source: OQMD via LeMat-Bulk
Functional: PBE
Structure: optimized geometry

Lattice parameters (Å, degrees): 5.8334 5.8334 8.5307 90.00 90.00 120.00
Space group P6/mmm (No. 191)
Asymmetric unit:
K  0.0000  0.0000  0.0000 x1
Sn  0.0000  0.0000  0.5000 x1
Sn  0.3333  0.6667  0.2104 x4
Au  0.0000  0.5000  0.5000 x3



Record 2
Compound: RbHfIn
Source: OQMD via LeMat-Bulk
Functional: PBE
Structure: optimized geometry

Results
**Excess energy over the best structure of this formula in the dataset**: 0.548 eV per atom

Lattice parameters (Å, degrees): 7.4809 7.4809 7.4809 90.00 90.00 90.00
Space group F-43m (No. 216)
Asymmetric unit:
Rb  0.0000  0.0000  0.0000 x4
Hf  0.2500  0.2500  0.7500 x4
In  0.2500  0.2500  0.2500 x4



Record 3
Compound: Li4NbSbO6
Source: OQMD via LeMat-Bulk
Functional: PBE
Structure: optimized geometry

Lattice parameters (Å, degrees): 5.4424 9.4299 5.2069 90.00 110.41 90.00
Space group C2 (No. 5)
Asymmetric unit:
Li  0.0000  0.0000  0.0000 x2
Li  0.0000  0.1536  0.5000 x2
Li  0.0000  0.5096  0.5000 x2
Li  0.0000  0.8423  0.5000 x2
Nb  0.0000  0.6674  0.0000 x2
Sb  0.0000  0.3329  0.0000 x2
O  0.2277  0.8210  0.2393 x4
O  0.2313  0.6624  0.7681 x4
O  0.2369  0.5137  0.2421 x4



Summary of calculated density in g/cm3
8.1 6.0 4.5
(order as listed above)
Summary of energy in eV per atom
-3.51 -2.90 -6.29
(order as listed above)